# 1
! PmMgPb6 (PBE-GGA, relaxed); values from VASP
! Crystal system: tetragonal
! Formation energy from the elements (eV/atom): -0.167
! Theoretical density (g/cm3): 10.031
! Spin magnetization (μB per formula unit): 0.0
! Symmetry: P4/mmm, No. 123
! Raw total energy (eV/atom): -3.74
&SYSTEM
  ibrav = 0, nat = 8, ntyp = 3
/
ATOMIC_SPECIES
Pm 145.00 Pm.upf
Pb 207.20 Pb.upf
Mg 24.30 Mg.upf
CELL_PARAMETERS angstrom
-2.960 3.680 -0.566
-5.319 -4.442 -1.064
-1.353 -0.029 6.880
ATOMIC_POSITIONS crystal
Pm 0.500 0.000 0.000
Pb 0.500 0.500 0.000
Pb 0.000 0.260 0.260
Pb 0.000 0.740 0.740
Pb 0.500 0.000 0.500
Pb 0.000 0.261 0.739
Mg 0.500 0.500 0.500
Pb 0.000 0.739 0.261

***

# 2
! HoTl2Pd9 (PBE-GGA, relaxed); values from VASP
! Crystal system: tetragonal
! Formation energy from the elements (eV/atom): -0.428
! Theoretical density (g/cm3): 12.331
! Spin magnetization (μB per formula unit): 0.0
! Symmetry: P4/mmm, No. 123
! Raw total energy (eV/atom): -5.10
&SYSTEM
  ibrav = 0, nat = 12, ntyp = 3
/
ATOMIC_SPECIES
Pd 106.42 Pd.upf
Ho 164.93 Ho.upf
Tl 204.38 Tl.upf
CELL_PARAMETERS angstrom
4.086 0.000 0.000
0.000 4.086 0.000
0.000 0.000 12.350
ATOMIC_POSITIONS crystal
Pd 0.000 0.500 0.832
Ho 0.000 0.000 0.000
Pd 0.500 0.500 0.668
Tl 0.000 0.000 0.664
Tl 0.000 0.000 0.336
Pd 0.500 0.000 0.500
Pd 0.000 0.500 0.500
Pd 0.000 0.500 0.168
Pd 0.500 0.500 0.000
Pd 0.500 0.500 0.332
Pd 0.500 0.000 0.832
Pd 0.500 0.000 0.168